VASP calculation (GGA+U) on a relaxed structure of UMn2O6.

Cell lengths 6.5485, 5.1116, 10.1989 Å; angles 90.00, 126.62, 90.00 degrees
Atoms (fractional coordinates):
1 U 0.0000 0.0000 0.0000
2 U 0.0000 0.5000 0.5000
3 Mn 0.4086 0.0397 0.8283
4 Mn 0.4086 0.4603 0.3283
5 Mn 0.5914 0.5397 0.6717
6 Mn 0.5914 0.9603 0.1717
7 O 0.1069 0.1914 0.6430
8 O 0.1069 0.3086 0.1430
9 O 0.2927 0.0894 0.9658
10 O 0.2927 0.4106 0.4658
11 O 0.3369 0.6849 0.7000
12 O 0.3369 0.8151 0.2000
13 O 0.6631 0.1849 0.8000
14 O 0.6631 0.3151 0.3000
15 O 0.7073 0.5894 0.5342
16 O 0.7073 0.9106 0.0342
17 O 0.8931 0.6914 0.8570
18 O 0.8931 0.8086 0.3570

Results
Mass density: 5.38 g cm⁻³
Symmetry: No. 14
Calculated total energy: -151.3 eV for the cell shown
M_tot: 16.00 μB per cell